CrW5 at its PBEsol-relaxed geometry. Source: Alexandria, functional meta-GGA SCAN.

a = 9.808 Å, b = 3.114 Å, c = 6.221 Å
α = 90.00°, β = 108.42°, γ = 90.00°
Space group C2/m (No. 12)
Inequivalent atoms, fractional coordinates:
Cr: 0.000 0.000 0.000 (multiplicity 2)
W: 0.000 0.000 0.500 (multiplicity 2)
W: 0.165 0.500 0.327 (multiplicity 4)
W: 0.165 0.500 0.837 (multiplicity 4)

Output
V ... 90 Å³/f.u.
Final energy ... -61.09 eV per atom
Formation energy from the elements ... 0.04 eV/atom

***

CrW5 at its PBEsol-relaxed geometry. Source: Alexandria, functional meta-GGA SCAN.

a = 3.118 Å, b = 13.170 Å, c = 4.393 Å
α = 90.00°, β = 90.00°, γ = 90.00°
Space group Cmmm (No. 65)
Inequivalent atoms, fractional coordinates:
Cr: 0.000 0.000 0.000 (multiplicity 2)
W: 0.000 0.165 0.500 (multiplicity 4)
W: 0.000 0.337 0.000 (multiplicity 4)
W: 0.000 0.500 0.500 (multiplicity 2)

Output
V ... 90 Å³/f.u.
Final energy ... -61.09 eV per atom
Formation energy from the elements ... 0.04 eV/atom

***

CrW2 at its PBEsol-relaxed geometry. Source: Alexandria, functional meta-GGA SCAN.

a = 9.324 Å, b = 9.324 Å, c = 4.952 Å
α = 90.00°, β = 90.00°, γ = 90.00°
Space group P4_2/mnm (No. 136)
Inequivalent atoms, fractional coordinates:
Cr: 0.000 0.000 0.000 (multiplicity 2)
Cr: 0.065 0.249 0.000 (multiplicity 8)
W: 0.034 0.371 0.500 (multiplicity 8)
W: 0.102 0.102 0.500 (multiplicity 4)
W: 0.184 0.816 0.251 (multiplicity 8)

Output
Distance to the lowest polymorph of the same formula ... 0.0750 eV per atom
V ... 43 Å³/f.u.
Final energy ... -52.46 eV per atom
Formation energy from the elements ... 0.13 eV/atom

***

CrW2 at its PBEsol-relaxed geometry. Source: Alexandria, functional meta-GGA SCAN.

a = 9.674 Å, b = 3.066 Å, c = 6.120 Å
α = 90.00°, β = 109.05°, γ = 90.00°
Space group C2/m (No. 12)
Inequivalent atoms, fractional coordinates:
Cr: 0.167 0.000 0.082 (multiplicity 4)
W: 0.001 0.500 0.761 (multiplicity 4)
W: 0.170 0.000 0.592 (multiplicity 4)

Output
Distance to the lowest polymorph of the same formula ... 0.0188 eV per atom
V ... 43 Å³/f.u.
Final energy ... -52.52 eV per atom
Formation energy from the elements ... 0.07 eV/atom

***

CrW3 at its PBEsol-relaxed geometry. Source: Alexandria, functional meta-GGA SCAN.

a = 8.7023 Å, b = 8.7023 Å, c = 2.6957 Å
α = 90.00°, β = 90.00°, γ = 120.00°
Space group R-3m (No. 166, hexagonal axes)
Inequivalent atoms, fractional coordinates:
Cr: 0.0000 0.0000 0.0000 (multiplicity 3)
W: 0.0000 0.5000 0.0000 (multiplicity 9)

Output
V ... 59 Å³/f.u.
Final energy ... -56.79 eV per atom
Formation energy from the elements ... 0.07 eV/atom

***

YCrW2 at its PBEsol-relaxed geometry. Source: Alexandria, functional meta-GGA SCAN.

a = 3.839 Å, b = 3.839 Å, c = 9.491 Å
α = 90.00°, β = 90.00°, γ = 90.00°
Space group I4/mmm (No. 139)
Inequivalent atoms, fractional coordinates:
Y: 0.000 0.000 0.000 (multiplicity 2)
Cr: 0.000 0.000 0.500 (multiplicity 2)
W: 0.000 0.500 0.250 (multiplicity 4)

Output
Distance to the lowest polymorph of the same formula ... 0.0689 eV per atom
V ... 70 Å³/f.u.
Final energy ... -45.78 eV per atom
Formation energy from the elements ... 0.62 eV/atom

***

Y2CrW at its PBEsol-relaxed geometry. Source: Alexandria, functional meta-GGA SCAN.

a = 6.810 Å, b = 6.810 Å, c = 6.810 Å
α = 90.00°, β = 90.00°, γ = 90.00°
Space group F-43m (No. 216)
Inequivalent atoms, fractional coordinates:
Y: 0.000 0.000 0.000 (multiplicity 4)
Y: 0.250 0.250 0.250 (multiplicity 4)
Cr: 0.250 0.250 0.750 (multiplicity 4)
W: 0.000 0.000 0.500 (multiplicity 4)

Output
Distance to the lowest polymorph of the same formula ... 0.2259 eV per atom
V ... 79 Å³/f.u.
Final energy ... -35.32 eV per atom
Formation energy from the elements ... 0.62 eV/atom

***

YCrW2 at its PBEsol-relaxed geometry. Source: Alexandria, functional meta-GGA SCAN.

a = 3.177 Å, b = 4.589 Å, c = 9.100 Å
α = 90.00°, β = 90.00°, γ = 90.00°
Space group Cmm2 (No. 35)
Inequivalent atoms, fractional coordinates:
Y: 0.000 0.000 0.000 (multiplicity 2)
Cr: 0.000 0.500 0.264 (multiplicity 2)
W: 0.000 0.000 0.474 (multiplicity 2)
W: 0.000 0.500 0.713 (multiplicity 2)

Output
Distance to the lowest polymorph of the same formula ... 0.0000 eV per atom
V ... 66 Å³/f.u.
Final energy ... -45.85 eV per atom
Formation energy from the elements ... 0.55 eV/atom

***

YCrW at its PBEsol-relaxed geometry. Source: Alexandria, functional meta-GGA SCAN.

a = 6.118 Å, b = 6.118 Å, c = 6.118 Å
α = 90.00°, β = 90.00°, γ = 90.00°
Space group F-43m (No. 216)
Inequivalent atoms, fractional coordinates:
Y: 0.000 0.000 0.000 (multiplicity 4)
Cr: 0.250 0.250 0.750 (multiplicity 4)
W: 0.000 0.000 0.500 (multiplicity 4)

Output
V ... 57 Å³/f.u.
Final energy ... -37.62 eV per atom
Formation energy from the elements ... 1.02 eV/atom

***

Y2CrW at its PBEsol-relaxed geometry. Source: Alexandria, functional meta-GGA SCAN.

a = 3.1302 Å, b = 3.1302 Å, c = 29.0382 Å
α = 90.00°, β = 90.00°, γ = 120.00°
Space group R-3m (No. 166, hexagonal axes)
Inequivalent atoms, fractional coordinates:
Y: 0.0000 0.0000 0.2482 (multiplicity 6)
Cr: 0.0000 0.0000 0.5000 (multiplicity 3)
W: 0.0000 0.0000 0.0000 (multiplicity 3)

Output
Distance to the lowest polymorph of the same formula ... 0.3971 eV per atom
V ... 82 Å³/f.u.
Final energy ... -35.15 eV per atom
Formation energy from the elements ... 0.79 eV/atom

***

Y2CrW at its PBEsol-relaxed geometry. Source: Alexandria, functional meta-GGA SCAN.

a = 3.365 Å, b = 4.932 Å, c = 10.021 Å
α = 90.00°, β = 90.00°, γ = 90.00°
Space group Imm2 (No. 44)
Inequivalent atoms, fractional coordinates:
Y: 0.000 0.000 0.000 (multiplicity 2)
Y: 0.000 0.500 0.221 (multiplicity 2)
Cr: 0.000 0.500 0.771 (multiplicity 2)
W: 0.000 0.000 0.435 (multiplicity 2)

Output
Distance to the lowest polymorph of the same formula ... 0.0000 eV per atom
V ... 83 Å³/f.u.
Final energy ... -35.55 eV per atom
Formation energy from the elements ... 0.39 eV/atom

***

ZnCr2W at its PBEsol-relaxed geometry. Source: Alexandria, functional meta-GGA SCAN.

a = 3.042 Å, b = 3.042 Å, c = 5.646 Å
α = 90.00°, β = 90.00°, γ = 90.00°
Space group P4/mmm (No. 123)
Inequivalent atoms, fractional coordinates:
Zn: 0.000 0.000 0.000 (multiplicity 1)
Cr: 0.500 0.500 0.250 (multiplicity 2)
W: 0.000 0.000 0.500 (multiplicity 1)

Output
V ... 52 Å³/f.u.
Final energy ... -29.88 eV per atom
Formation energy from the elements ... 0.11 eV/atom

***

ZnCr2W at its PBEsol-relaxed geometry. Source: Alexandria, functional meta-GGA SCAN.

a = 2.6308 Å, b = 2.6308 Å, c = 26.6756 Å
α = 90.00°, β = 90.00°, γ = 120.00°
Space group R-3m (No. 166, hexagonal axes)
Inequivalent atoms, fractional coordinates:
Zn: 0.0000 0.0000 0.0000 (multiplicity 3)
Cr: 0.0000 0.0000 0.2524 (multiplicity 6)
W: 0.0000 0.0000 0.5000 (multiplicity 3)

Output
V ... 53 Å³/f.u.
Final energy ... -29.50 eV per atom
Formation energy from the elements ... 0.49 eV/atom